1.
A plane-wave DFT calculation with PBE-GGA was carried out for an optimized crystal structure of Li6Ca12Tl.

Lattice parameters (Å, degrees): 8.6659 8.6659 8.6659 87.58 87.58 87.58
Fractional coordinates of all 19 atoms:
Ca1 0.6429 0.9893 0.8497
Ca2 0.1503 0.3571 0.0107
Ca3 0.0107 0.1503 0.3571
Ca4 0.3571 0.0107 0.1503
Ca5 0.7996 0.5415 0.4393
Li1 0.7404 0.9036 0.2539
Ca6 0.5607 0.2004 0.4585
Li2 0.9036 0.2539 0.7404
Ca7 0.8497 0.6429 0.9893
Li3 0.2596 0.0964 0.7461
Ca8 0.2004 0.4585 0.5607
Li4 0.2539 0.7404 0.9036
Ca9 0.5415 0.4393 0.7996
Li5 0.0964 0.7461 0.2596
Tl1 0.0000 0.0000 0.0000
Ca10 0.4585 0.5607 0.2004
Li6 0.7461 0.2596 0.0964
Ca11 0.9893 0.8497 0.6429
Ca12 0.4393 0.7996 0.5415

## Properties
Its final energy is -1.977 eV per atom. The calculation puts the theoretical density at 1.86 g/cm³. As for the crystal system: trigonal. The formation enthalpy at 0 K comes out at 0.02 eV/atom.

2.
A plane-wave DFT calculation with PBE-GGA was carried out for an optimized crystal structure of Li6CaTl.

Lattice parameters (Å, degrees): 5.5995 5.5995 5.5995 90.00 90.00 90.00
Fractional coordinates of all 8 atoms:
Li1 0.0000 0.5000 0.7724
Ca1 0.5000 0.5000 0.5000
Li2 0.7724 0.0000 0.5000
Li3 0.5000 0.7724 0.0000
Li4 0.2276 0.0000 0.5000
Tl1 0.0000 0.0000 0.0000
Li5 0.5000 0.2276 0.0000
Li6 0.0000 0.5000 0.2276

## Properties
Its final energy is -2.006 eV per atom. The calculation puts the theoretical density at 2.71 g/cm³. As for the crystal system: cubic. The formation enthalpy at 0 K comes out at -0.02 eV/atom.

3.
A plane-wave DFT calculation with PBE-GGA was carried out for an optimized crystal structure of LiCa3Tl.

Lattice parameters (Å, degrees): 9.0878 6.9011 10.4683 89.99 90.00 90.00
Fractional coordinates of all 20 atoms:
Tl1 0.7493 0.5437 0.1249
Ca1 0.9507 0.7311 0.3741
Ca2 0.9510 0.7309 0.8758
Tl2 0.2493 0.4563 0.3751
Ca3 0.2513 0.7436 0.1250
Ca4 0.4510 0.2691 0.6242
Ca5 0.2487 0.7436 0.6250
Li1 0.2490 0.0571 0.3750
Ca6 0.7487 0.2564 0.8750
Tl3 0.7507 0.5437 0.6249
Tl4 0.2507 0.4563 0.8751
Ca7 0.7513 0.2564 0.3750
Li2 0.7510 0.9429 0.6250
Ca8 0.0490 0.2691 0.1242
Ca9 0.5493 0.7311 0.8741
Li3 0.2510 0.0571 0.8750
Ca10 0.0493 0.2689 0.6259
Ca11 0.5490 0.7309 0.3758
Ca12 0.4507 0.2689 0.1259
Li4 0.7490 0.9429 0.1250

## Properties
Its final energy is -2.247 eV per atom. The calculation puts the theoretical density at 3.35 g/cm³. As for the crystal system: monoclinic. The formation enthalpy at 0 K comes out at -0.19 eV/atom. For the energy above the most stable polymorph in this dataset, the calculation gives 0.030 eV per atom.

4.
A plane-wave DFT calculation with PBE-GGA was carried out for an optimized crystal structure of LiCa6Tl2.

Lattice parameters (Å, degrees): 5.6421 5.6443 10.4584 89.97 90.00 119.99
Fractional coordinates of all 9 atoms:
Ca1 0.6666 0.3333 0.0463
Ca2 0.3334 0.6667 0.9537
Ca3 0.9996 0.9993 0.1977
Ca4 0.0004 0.0007 0.8023
Tl1 0.3328 0.6656 0.2733
Ca5 0.6665 0.3331 0.4047
Li1 0.0000 0.0000 0.5000
Ca6 0.3335 0.6669 0.5953
Tl2 0.6672 0.3344 0.7267

## Properties
Its final energy is -2.278 eV per atom. The calculation puts the theoretical density at 3.78 g/cm³. As for the crystal system: trigonal. The formation enthalpy at 0 K comes out at -0.21 eV/atom. For the energy above the most stable polymorph in this dataset, the calculation gives 0.005 eV per atom.

5.
A plane-wave DFT calculation with PBE-GGA was carried out for an optimized crystal structure of LiCa4Tl2.

Lattice parameters (Å, degrees): 5.4251 5.4251 9.3474 73.13 73.13 60.00
Fractional coordinates of all 7 atoms:
Tl1 0.7455 0.7455 0.7636
Ca1 0.3788 0.3788 0.8635
Ca2 0.1276 0.1276 0.6172
Tl2 0.2545 0.2545 0.2364
Ca3 0.6212 0.6212 0.1365
Li1 0.0000 0.0000 0.0000
Ca4 0.8724 0.8724 0.3828

## Properties
Its final energy is -2.368 eV per atom. The calculation puts the theoretical density at 4.26 g/cm³. As for the crystal system: trigonal. The formation enthalpy at 0 K comes out at -0.27 eV/atom.

6.
A plane-wave DFT calculation with PBE-GGA was carried out for an optimized crystal structure of Li6Ca2Tl.

Lattice parameters (Å, degrees): 6.0073 6.0077 6.8975 90.00 90.00 60.00
Fractional coordinates of all 9 atoms:
Li1 0.8284 0.3432 0.6592
Li2 0.1716 0.6568 0.3408
Tl1 0.0000 0.0000 0.0000
Li3 0.8284 0.8284 0.6592
Ca1 0.3333 0.3333 0.8809
Li4 0.6568 0.1716 0.3408
Li5 0.1716 0.1716 0.3408
Ca2 0.6667 0.6667 0.1191
Li6 0.3432 0.8284 0.6592

## Properties
Its final energy is -2.079 eV per atom. The calculation puts the theoretical density at 2.51 g/cm³. As for the crystal system: trigonal. The formation enthalpy at 0 K comes out at -0.10 eV/atom.

7.
A plane-wave DFT calculation with PBE-GGA was carried out for an optimized crystal structure of Li3Ca2Tl8.

Lattice parameters (Å, degrees): 6.1959 7.6854 8.7166 116.16 99.36 90.00
Fractional coordinates of all 13 atoms:
Tl1 0.4440 0.7941 0.1865
Tl2 0.8247 0.1595 0.3190
Tl3 0.0259 0.3788 0.7575
Li1 0.0000 0.8119 0.0000
Li2 0.0000 0.1881 0.0000
Ca1 0.6639 0.7750 0.5499
Tl4 0.9741 0.6212 0.2425
Tl5 0.1753 0.8405 0.6810
Ca2 0.3361 0.2250 0.4501
Tl6 0.4440 0.3924 0.1865
Tl7 0.5560 0.2059 0.8135
Li3 0.5000 0.0000 0.0000
Tl8 0.5560 0.6076 0.8135

## Properties
Its final energy is -2.318 eV per atom. The calculation puts the theoretical density at 7.87 g/cm³. As for the crystal system: monoclinic. The formation enthalpy at 0 K comes out at -0.11 eV/atom. For the energy above the most stable polymorph in this dataset, the calculation gives 0.031 eV per atom.

8.
A plane-wave DFT calculation with PBE-GGA was carried out for an optimized crystal structure of Li2Ca6Tl.

Lattice parameters (Å, degrees): 5.4986 7.2437 8.7191 83.13 71.62 67.69
Fractional coordinates of all 9 atoms:
Ca1 0.6423 0.2155 0.5000
Li1 0.3346 0.5000 0.8308
Ca2 0.3577 0.7845 0.5000
Ca3 0.9809 0.2090 0.8292
Ca4 0.6899 0.7911 0.8292
Ca5 0.3101 0.2089 0.1708
Li2 0.6654 0.5000 0.1692
Ca6 0.0191 0.7910 0.1708
Tl1 0.0000 0.5000 0.5000

## Properties
Its final energy is -2.135 eV per atom. The calculation puts the theoretical density at 2.50 g/cm³. As for the crystal system: orthorhombic. The formation enthalpy at 0 K comes out at -0.11 eV/atom.

9.
A plane-wave DFT calculation with PBE-GGA was carried out for an optimized crystal structure of Li12Ca16Tl.

Lattice parameters (Å, degrees): 10.3905 10.3905 11.5530 111.17 111.17 107.11
Fractional coordinates of all 29 atoms:
Tl1 0.5930 0.5930 0.2792
Li1 0.3845 0.9947 0.1835
Li2 0.8254 0.6399 0.6493
Li3 0.1915 0.8195 0.8498
Ca1 0.0226 0.0226 0.7152
Ca2 0.6289 0.9954 0.9995
Ca3 0.3509 0.7424 0.3397
Ca4 0.9749 0.7338 0.3756
Ca5 0.6398 0.4085 0.9995
Ca6 0.0054 0.0054 0.0172
Ca7 0.3830 0.9982 0.6930
Li4 0.6213 0.6213 0.7940
Li5 0.3729 0.1933 0.0341
Li6 0.9947 0.3845 0.1835
Li7 0.1933 0.3729 0.0341
Ca8 0.9954 0.6289 0.9995
Ca9 0.5936 0.2383 0.5844
Li8 0.6399 0.8254 0.6493
Li9 0.8085 0.8085 0.1275
Ca10 0.9982 0.3830 0.6930
Li10 0.1860 0.9954 0.3244
Ca11 0.7338 0.9749 0.3756
Ca12 0.7424 0.3509 0.3397
Li11 0.8195 0.1915 0.8498
Ca13 0.2383 0.5936 0.5844
Li12 0.9954 0.1860 0.3244
Ca14 0.4085 0.6398 0.9995
Ca15 0.2722 0.2722 0.6336
Ca16 0.3864 0.3864 0.3674

## Properties
Its final energy is -1.973 eV per atom. The calculation puts the theoretical density at 1.63 g/cm³. As for the crystal system: monoclinic. The formation enthalpy at 0 K comes out at 0.01 eV/atom.

10.
A plane-wave DFT calculation with PBE-GGA was carried out for an optimized crystal structure of Li2Ca2Tl.

Lattice parameters (Å, degrees): 3.8634 3.8634 10.1487 79.03 79.03 90.00
Fractional coordinates of all 5 atoms:
Li1 0.2500 0.7500 0.5000
Ca1 0.5995 0.5995 0.8010
Ca2 0.4005 0.4005 0.1990
Li2 0.7500 0.2500 0.5000
Tl1 0.0000 0.0000 0.0000

## Properties
Its final energy is -2.140 eV per atom. The calculation puts the theoretical density at 3.40 g/cm³. As for the crystal system: tetragonal. The formation enthalpy at 0 K comes out at -0.10 eV/atom. For the energy above the most stable polymorph in this dataset, the calculation gives 0.110 eV per atom.